Material: YCr2Re
Method: DFT, GGA-PBE
State: relaxed

Geometry as POSCAR:
```
YCr2Re
1.0
-1.6839 -1.2188 2.2642
2.1385 -2.1667 0.4241
3.3770 4.2751 4.8128
Re Y Cr
1 1 2
Cartesian
1.0715 -0.6240 2.5473
2.7600 1.5136 4.9537
1.4915 1.8882 2.1257
0.1970 0.2494 0.2807
```

Summary:
Its energy above the most stable polymorph in this dataset is 0.0000 eV/atom. For the total energy, the calculation gives -0.6774 Ry per atom. Its spin magnetization is 3.58 μB per formula unit.